[1]
The following is a DFT calculation (GGA-PBE) of InFe2Pb after structural relaxation.

Output
Energy above the lowest structure with this stoichiometry = 0.440 eV/atom
Crystal system = cubic
DFT total energy = -82.0 eV/cell
DOS at the Fermi energy = 1.17 states/eV per atom
E_form = 0.72 eV/atom

Cell: 6.7362 6.7362 6.7362 Å, 90.00 90.00 90.00°
With the nearest neighbours (Å) after each atom.
Space group F-43m (No. 216)
Unique sites:
In 0.0000 0.0000 0.0000 [4 per cell]  4 Pb 2.92, 4 Fe 2.92
Fe 0.0000 0.0000 0.5000 [4 per cell]  4 Fe 2.92, 4 Pb 2.92
Fe 0.2500 0.2500 0.2500 [4 per cell]  4 In 2.92, 4 Fe 2.92
Pb 0.2500 0.2500 0.7500 [4 per cell]  4 In 2.92, 4 Fe 2.92

***

[2]
The following is a DFT calculation (GGA-PBE) of SiNiAsP after structural relaxation.

Output
Energy above the lowest structure with this stoichiometry = 0.150 eV/atom
Crystal system = orthorhombic
DFT total energy = -42.7 eV/cell
DOS at the Fermi energy = 0.39 states/eV per atom
Formation energy (no corrections) = -0.0275 eV/atom

Cell: 4.1161 4.7087 6.3982 Å, 90.00 90.00 90.00°
With the nearest neighbours (Å) after each atom.
Space group Amm2 (No. 38)
Unique sites:
Si 0.0000 0.0000 0.0000 [2 per cell]  2 Ni 2.41, 2 P 2.41, 3 As 2.45-2.51
Ni 0.5000 0.0000 0.1953 [2 per cell]  2 Si 2.41, 2 As 2.41, 3 P 2.45-2.50
As 0.0000 0.0000 0.3924 [2 per cell]  2 Ni 2.41, 3 Si 2.45-2.51
P 0.5000 0.0000 0.8038 [2 per cell]  2 Si 2.41, 3 Ni 2.45-2.50

***

[3]
The following is a DFT calculation (GGA-PBE) of Pu2ZnNi4As3 after structural relaxation.

Output
Crystal system = tetragonal
DFT total energy = -72.8 eV/cell
DOS at the Fermi energy = 2.84 states/eV per atom
E_form = -0.57 eV/atom

Cell: 4.0825 4.0825 9.7051 Å, 90.00 90.00 90.00°
With the nearest neighbours (Å) after each atom.
Space group P-4m2 (No. 115)
Unique sites:
Pu 0.0000 0.5000 0.2457 [2 per cell]  6 As 3.09-3.20, 8 Ni 3.14, 2 Zn 3.20
Zn 0.0000 0.0000 0.5000 [1 per cell]  4 Ni 2.39
Ni 0.0000 0.0000 0.0000 [1 per cell]  4 As 2.42
Ni 0.0000 0.5000 0.6281 [2 per cell]  3 As 2.32-2.39, 2 Zn 2.39
Ni 0.5000 0.5000 0.0000 [1 per cell]  4 As 2.42
As 0.0000 0.5000 0.8669 [2 per cell]  5 Ni 2.32-2.42
As 0.5000 0.5000 0.5000 [1 per cell]  4 Ni 2.39

***

[4]
The following is a DFT calculation (GGA-PBE) of Hf2SbRhPb after structural relaxation.

Output
Crystal system = tetragonal
DFT total energy = -31.7 eV/cell
DOS at the Fermi energy = 1.56 states/eV per atom
Formation energy (no corrections) = 0.6839 eV/atom

Cell: 5.2871 5.2871 4.8268 Å, 90.00 90.00 90.00°
With the nearest neighbours (Å) after each atom.
Space group P4/mmm (No. 123)
Unique sites:
Hf 0.0000 0.5000 0.0000 [2 per cell]  2 Sb 2.64
Sb 0.0000 0.0000 0.0000 [1 per cell]  2 Rh 2.41, 4 Hf 2.64
Rh 0.0000 0.0000 0.5000 [1 per cell]  2 Sb 2.41
Pb 0.5000 0.5000 0.5000 [1 per cell]  8 Hf 3.58, 4 Rh 3.74